(1)
An optimized crystal structure of Zn5Rh. Source: Alexandria, functional PBE.

The structure in extended XYZ format:
```
6
Lattice="7.0371 0.0918 0.0000 -6.4227 2.8773 0.0000 0.0000 0.0000 4.1828" Properties=species:S:1:pos:R:3 pbc="T T T"
Rh -6.3735 2.8671 0.0000
Zn -3.4734 2.2670 2.0914
Zn -1.7884 1.9182 0.0000
Zn 0.9583 1.3498 2.0914
Zn 2.5454 1.0213 0.0000
Zn 5.4884 0.4123 2.0914
```

Output
For the calculated formation energy, the calculation gives -170 meV per atom.



(2)
An optimized crystal structure of ZnRh. Source: Alexandria, functional PBE.

The structure in extended XYZ format:
```
2
Lattice="-1.1250 -1.5293 -2.0723 2.1799 -1.0033 1.4628 -2.6057 -1.7336 2.6940" Properties=species:S:1:pos:R:3 pbc="T T T"
Zn 1.0783 -1.1787 0.2845
Rh -1.3262 -2.2208 0.4531
```

Output
For the calculated formation energy, the calculation gives -287 meV per atom.



(3)
An optimized crystal structure of ZnRh2. Source: Alexandria, functional PBE.

The structure in extended XYZ format:
```
6
Lattice="0.0000 3.6084 3.6084 3.6084 0.0000 3.6084 3.6084 3.6084 0.0000" Properties=species:S:1:pos:R:3 pbc="T T T"
Zn 5.4125 5.4125 5.4125
Zn 3.6084 3.6084 3.6084
Rh 2.7063 0.9021 2.7063
Rh 2.7063 2.7063 0.9021
Rh 0.9021 2.7063 2.7063
Rh 0.9021 0.9021 0.9021
```

Output
For the calculated formation energy, the calculation gives 172 meV per atom.



(4)
An optimized crystal structure of Zn4Rh3. Source: Alexandria, functional PBE.

The structure in extended XYZ format:
```
7
Lattice="2.6049 -4.5117 0.0000 2.6049 4.5117 0.0000 0.0000 0.0000 4.5935" Properties=species:S:1:pos:R:3 pbc="T T T"
Zn 0.0000 0.0000 1.1511
Zn 0.0000 0.0000 3.4424
Zn 2.6049 -1.5039 2.2967
Zn 2.6049 1.5039 2.2967
Rh 1.3024 2.2559 0.0000
Rh 2.6049 0.0000 0.0000
Rh 1.3024 -2.2559 0.0000
```

Output
For the calculated formation energy, the calculation gives -16 meV per atom.



Question: What is the calculated formation energy in the third record?
Answer: 172 meV per atom



Question: Look up the calculated formation energy of the first one.
Answer: -170 meV per atom



Question: The highest calculated formation energy belongs to which entry?
Answer: ZnRh2



Question: Look up the calculated formation energy of the third one.
Answer: 172 meV per atom